1:
{
  "formula": "DyPaFe2",
  "functional": "GGA-PBE",
  "state": "relaxed",
  "cell": [[4.7077, 0.0000, 0.0000], [2.3539, 4.0770, 0.0000], [2.3539, 1.3590, 3.8438]],
  "species": ["Dy", "Fe", "Fe", "Pa"],
  "fractional_positions": [[0.0000, 0.0000, 0.0000], [0.2500, 0.2500, 0.2500], [0.7500, 0.7500, 0.7500], [0.5000, 0.5000, 0.5000]],
  "space_group": "Fm-3m (225)"
}


2:
{
  "formula": "DyPaFe2",
  "functional": "GGA-PBE",
  "state": "relaxed",
  "cell": [[3.3040, 0.0000, 0.0000], [0.0000, 3.3040, 0.0000], [0.0000, 0.0000, 6.7705]],
  "species": ["Dy", "Fe", "Fe", "Pa"],
  "fractional_positions": [[0.5000, 0.5000, 0.5000], [0.0000, 0.0000, 0.2039], [0.0000, 0.0000, 0.7961], [0.5000, 0.5000, 0.0000]],
  "space_group": "P4/mmm (123)"
}


Consider the structures shown above. The most stable of them is 2.